! Er6WO12 | Alexandria | GGA+U | relaxed; values from VASP
! DFT total energy: -8.316 eV per atom
! magnetization: 0.00 μB per atom
! space-group type: R-3 (148)
&SYSTEM
  ibrav = 0, nat = 19, ntyp = 3
/
ATOMIC_SPECIES
Er 167.26 Er.upf
W 183.84 W.upf
O 16.00 O.upf
ATOMIC_POSITIONS crystal
Er 0.682 0.856 0.389
Er 0.611 0.318 0.144
Er 0.144 0.611 0.318
Er 0.318 0.144 0.611
Er 0.389 0.682 0.856
Er 0.856 0.389 0.682
W 0.000 0.000 0.000
O 0.823 0.570 0.410
O 0.410 0.823 0.570
O 0.570 0.410 0.823
O 0.177 0.430 0.590
O 0.590 0.177 0.430
O 0.430 0.590 0.177
O 0.080 0.964 0.298
O 0.036 0.702 0.920
O 0.702 0.920 0.036
O 0.920 0.036 0.702
O 0.964 0.298 0.080
O 0.298 0.080 0.964
CELL_PARAMETERS angstrom
-1.518 -2.640 5.666
0.589 -5.389 -3.462
6.234 1.145 1.094